Compound: BaGaCu2Ge
Source: the Open Quantum Materials Database
Functional: PBE
Structure: relaxed

Unit cell a=4.4523 b=4.4523 c=10.4642 alpha=90.00 beta=90.00 gamma=90.00
Space group P4/nmm (No. 129, origin choice 2)
Symmetry-distinct sites (fractional):
Ba  0.2500  0.2500  0.2431
Ga  0.2500  0.7500  0.5000
Cu  0.2500  0.2500  0.6265
Cu  0.2500  0.7500  0.0000
Ge  0.2500  0.2500  0.8802

E	-3.673	eV per atom

Compound: BaGa2CuPd
Source: the Open Quantum Materials Database
Functional: PBE
Structure: relaxed

Unit cell a=4.4971 b=4.4971 c=10.5881 alpha=90.00 beta=90.00 gamma=90.00
Space group P4/nmm (No. 129, origin choice 2)
Symmetry-distinct sites (fractional):
Ba  0.2500  0.2500  0.2503
Ga  0.2500  0.2500  0.6175
Ga  0.2500  0.7500  0.0000
Cu  0.2500  0.2500  0.8759
Pd  0.2500  0.7500  0.5000

E	-3.822	eV per atom

Compound: BaGaCu2Sn
Source: the Open Quantum Materials Database
Functional: PBE
Structure: relaxed

Unit cell a=4.6119 b=4.6119 c=10.5222 alpha=90.00 beta=90.00 gamma=90.00
Space group P4/nmm (No. 129, origin choice 2)
Symmetry-distinct sites (fractional):
Ba  0.2500  0.2500  0.2357
Ga  0.2500  0.2500  0.8954
Cu  0.2500  0.2500  0.6461
Cu  0.2500  0.7500  0.0000
Sn  0.2500  0.7500  0.5000

E	-3.545	eV per atom

Compound: BaGdCuS3
Source: the Open Quantum Materials Database
Functional: PBE
Structure: relaxed

Unit cell a=4.0415 b=13.5509 c=10.3451 alpha=90.00 beta=90.00 gamma=90.00
Space group Cmcm (No. 63)
Symmetry-distinct sites (fractional):
Ba  0.0000  0.2444  0.2500
Gd  0.0000  0.5000  0.0000
Cu  0.0000  0.0330  0.7500
S  0.0000  0.1329  0.5654
S  0.0000  0.4336  0.7500

E	-5.489	eV per atom
total magnetization	0.01	μB per cell

Compound: BaGdCuS3
Source: the Open Quantum Materials Database
Functional: PBE
Structure: relaxed

Unit cell a=11.1135 b=4.1822 c=11.6828 alpha=90.00 beta=90.00 gamma=90.00
Space group Pnma (No. 62)
Symmetry-distinct sites (fractional):
Ba  0.1855  0.2500  0.0045
Gd  0.0108  0.2500  0.6819
Cu  0.2470  0.7500  0.7898
S  0.0460  0.7500  0.8433
S  0.1037  0.2500  0.4391
S  0.2258  0.7500  0.2034

E	-5.417	eV per atom
total magnetization	0.01	μB per cell

Compound: BaGdCuS3
Source: the Open Quantum Materials Database
Functional: PBE
Structure: relaxed

Unit cell a=13.8763 b=4.0353 c=10.5072 alpha=90.00 beta=90.00 gamma=90.00
Space group Pnma (No. 62)
Symmetry-distinct sites (fractional):
Ba  0.2263  0.2500  0.0322
Gd  0.0163  0.2500  0.3314
Cu  0.0090  0.7500  0.0916
S  0.0877  0.7500  0.8883
S  0.1016  0.2500  0.5698
S  0.1356  0.7500  0.2434

E	-5.451	eV per atom
total magnetization	0.01	μB per cell

Compound: BaGdCuSe2S
Source: the Open Quantum Materials Database
Functional: PBE
Structure: relaxed

Unit cell a=4.1473 b=13.9897 c=10.4655 alpha=90.00 beta=90.00 gamma=90.00
Space group Cmcm (No. 63)
Symmetry-distinct sites (fractional):
Ba  0.0000  0.2360  0.2500
Gd  0.0000  0.5000  0.0000
Cu  0.0000  0.0283  0.7500
Se  0.0000  0.1372  0.5627
S  0.0000  0.4371  0.7500

E	-5.202	eV per atom
total magnetization	0.03	μB per cell

Compound: BaGdCuTe2S
Source: the Open Quantum Materials Database
Functional: PBE
Structure: relaxed

Unit cell a=4.2757 b=14.9185 c=10.6854 alpha=90.00 beta=90.00 gamma=90.00
Space group Cmcm (No. 63)
Symmetry-distinct sites (fractional):
Ba  0.0000  0.2215  0.2500
Gd  0.0000  0.5000  0.0000
Cu  0.0000  0.0237  0.7500
Te  0.0000  0.1418  0.5635
S  0.0000  0.4423  0.7500

E	-4.842	eV per atom
total magnetization	0.02	μB per cell